Entry 1:
# CsHCO3 (GGA-PBEsol, optimized geometry)
data_CsHCO3
_chemical_formula_sum 'Cs4 H4 C4 O12'
_symmetry_space_group_name_H-M 'P 1 21/c 1'
_symmetry_Int_Tables_number 14
_cell_length_a 4.3730
_cell_length_b 13.1245
_cell_length_c 7.7432
_cell_angle_alpha 90.00
_cell_angle_beta 114.42
_cell_angle_gamma 90.00
loop_
_symmetry_equiv_pos_as_xyz
'x,y,z'
'-x,-y,-z'
'-x,y+1/2,-z+1/2'
'x,-y+1/2,z+1/2'
loop_
_atom_site_label
_atom_site_fract_x
_atom_site_fract_y
_atom_site_fract_z
_atom_site_occupancy
Cs1 0.2005 0.1451 0.0939 1
H1 0.0030 0.0605 0.4126 1
C1 0.2963 0.0934 0.6836 1
O1 0.1637 0.1189 0.4990 1
O2 0.2147 0.0066 0.7311 1
O3 0.4892 0.1566 0.8001 1
# DOS at the Fermi energy in states/eV/atom: 0.0000
# Electronic total energy in eV/cell: -155.73

=====

Entry 2:
# Cs2H6CO6 (GGA-PBEsol, optimized geometry)
data_Cs2H6CO6
_chemical_formula_sum 'Cs4 H12 C2 O12'
_symmetry_space_group_name_H-M 'P 1 2/c 1'
_symmetry_Int_Tables_number 13
_cell_length_a 6.4017
_cell_length_b 6.8451
_cell_length_c 8.6334
_cell_angle_alpha 90.00
_cell_angle_beta 90.55
_cell_angle_gamma 90.00
loop_
_symmetry_equiv_pos_as_xyz
'x,y,z'
'-x,-y,-z'
'-x,y,-z+1/2'
'x,-y,z+1/2'
loop_
_atom_site_label
_atom_site_fract_x
_atom_site_fract_y
_atom_site_fract_z
_atom_site_occupancy
Cs1 0.2416 0.1491 0.0741 1
H1 0.1231 0.2719 0.7369 1
H2 0.2677 0.3443 0.5280 1
H3 0.2836 0.4008 0.3492 1
C1 0.5000 0.3270 0.7500 1
O1 0.0000 0.1822 0.7500 1
O2 0.2488 0.2904 0.4215 1
O3 0.3289 0.4256 0.7176 1
O4 0.5000 0.1415 0.7500 1
# DOS at the Fermi energy in states/eV/atom: 0.0000
# Electronic total energy in eV/cell: -166.55

=====

Entry 3:
# CsVH12C4O14 (GGA-PBEsol, optimized geometry)
data_CsVH12C4O14
_chemical_formula_sum 'Cs2 V2 H24 C8 O28'
_symmetry_space_group_name_H-M 'C 1 2/m 1'
_symmetry_Int_Tables_number 12
_cell_length_a 8.9414
_cell_length_b 7.3260
_cell_length_c 10.5307
_cell_angle_alpha 90.00
_cell_angle_beta 101.43
_cell_angle_gamma 90.00
loop_
_symmetry_equiv_pos_as_xyz
'x,y,z'
'-x,-y,-z'
'-x,y,-z'
'x,-y,z'
'x+1/2,y+1/2,z'
'-x+1/2,-y+1/2,-z'
'-x+1/2,y+1/2,-z'
'x+1/2,-y+1/2,z'
loop_
_atom_site_label
_atom_site_fract_x
_atom_site_fract_y
_atom_site_fract_z
_atom_site_occupancy
Cs1 0.0000 0.0000 0.0000 1
V1 0.0000 0.5000 0.5000 1
H1 0.0069 0.1112 0.3519 1
H2 0.2006 0.0000 0.4702 1
H3 0.2107 0.5000 0.3613 1
H4 0.2373 0.3884 0.1878 1
C1 0.1364 0.3951 0.7562 1
O1 0.0707 0.3239 0.6469 1
O2 0.0722 0.0000 0.3524 1
O3 0.1925 0.5000 0.2220 1
O4 0.1972 0.3075 0.8543 1
O5 0.2003 0.5000 0.4596 1
# Electronic total energy in eV/cell: -403.61

=====

Entry 4:
# CsHg2C2 (GGA-PBEsol, optimized geometry)
data_CsHg2C2
_chemical_formula_sum 'Cs2 Hg4 C4'
_symmetry_space_group_name_H-M 'I 4/m m m'
_symmetry_Int_Tables_number 139
_symmetry_space_group_name_Hall '-I 4 2'
_cell_length_a 4.3837
_cell_length_b 4.3837
_cell_length_c 11.8929
_cell_angle_alpha 90.00
_cell_angle_beta 90.00
_cell_angle_gamma 90.00
loop_
_atom_site_label
_atom_site_fract_x
_atom_site_fract_y
_atom_site_fract_z
_atom_site_occupancy
Cs1 0.0000 0.0000 0.0000 1
Hg1 0.0000 0.0000 0.3017 1
C1 0.0000 0.5000 0.2500 1
# DOS at the Fermi energy in states/eV/atom: 0.3192
# ΔH_f (0 K) in meV/atom: 1462

=====

Entry 5:
# CsHg2CO (GGA-PBEsol, optimized geometry)
data_CsHg2CO
_chemical_formula_sum 'Cs1 Hg2 C1 O1'
_symmetry_space_group_name_H-M 'P 4/m m m'
_symmetry_Int_Tables_number 123
_symmetry_space_group_name_Hall '-P 4 2'
_cell_length_a 4.6309
_cell_length_b 4.6309
_cell_length_c 6.1587
_cell_angle_alpha 90.00
_cell_angle_beta 90.00
_cell_angle_gamma 90.00
loop_
_atom_site_label
_atom_site_fract_x
_atom_site_fract_y
_atom_site_fract_z
_atom_site_occupancy
Cs1 0.0000 0.0000 0.0000 1
Hg1 0.0000 0.5000 0.5000 1
C1 0.5000 0.5000 0.0000 1
O1 0.0000 0.0000 0.5000 1
# DOS at the Fermi energy in states/eV/atom: 0.2990
# Formation energy (no corrections) in eV per formula unit: 5.29

=====

Entry 6:
# CsHgOsC2 (GGA-PBEsol, optimized geometry)
data_CsHgOsC2
_chemical_formula_sum 'Cs1 Hg1 Os1 C2'
_symmetry_space_group_name_H-M 'P 4/m m m'
_symmetry_Int_Tables_number 123
_symmetry_space_group_name_Hall '-P 4 2'
_cell_length_a 4.1195
_cell_length_b 4.1195
_cell_length_c 6.4586
_cell_angle_alpha 90.00
_cell_angle_beta 90.00
_cell_angle_gamma 90.00
loop_
_atom_site_label
_atom_site_fract_x
_atom_site_fract_y
_atom_site_fract_z
_atom_site_occupancy
Cs1 0.0000 0.0000 0.0000 1
Hg1 0.5000 0.5000 0.0000 1
Os1 0.0000 0.0000 0.5000 1
C1 0.0000 0.5000 0.5000 1
# DOS at the Fermi energy in states/eV/atom: 0.5404
# ΔH_f (0 K) in meV/atom: 1615